Entry w
Compound: PmNd6Mg2
Source: the Alexandria database
Functional: GGA-PBE
Structure: relaxed

Its density of states at the Fermi level is 45.88 states/eV/cell.

It has space group C2/c (No. 15), with a = 19.306 Å, b = 11.878 Å, c = 5.208 Å, α = 90.00°, β = 90.07° and γ = 90.00°. The asymmetric unit holds Pm at (0.000, 0.249, 0.250), Nd at (0.087, 0.414, 0.750), Nd at (0.100, 0.110, 0.750), Nd at (0.185, 0.297, 0.251) and Mg at (0.241, 0.051, 0.248).

Entry x
Compound: PmNd6Mg2
Source: the Alexandria database
Functional: GGA-PBE
Structure: relaxed

Its density of states at the Fermi level is 23.60 states/eV/cell.

It has space group C222 (No. 21), with a = 6.189 Å, b = 10.686 Å, c = 8.845 Å, α = 90.00°, β = 90.00° and γ = 90.00°. The asymmetric unit holds Pm at (0.000, 0.000, 0.000), Nd at (0.000, 0.327, 0.000), Nd at (0.244, 0.085, 0.338) and Mg at (0.250, 0.250, 0.671).

Stability check: which of them is most stable? entry x.